The following is a DFT calculation (PBE-GGA) of a relaxed TiNbTe crystal.

abc: 3.497 3.497 10.810
angles: 90.00 90.00 90.00
Fractional positions:
Nb1 0.500 0.500 0.402
Ti1 0.500 0.500 0.680
Te1 0.000 0.000 0.261
Nb2 0.000 0.000 0.544
Te2 0.500 0.500 0.949
Ti2 0.000 0.000 0.826

Calculated values
Space group: P4mm
Polymorph energy (0 for the lowest one), eV/atom: 0.000
Uncorrected formation energy, eV per atom: -0.37
Electronic total energy, eV/cell: -44.41

The following is a DFT calculation (PBE-GGA) of a relaxed MnTlCu2N crystal.

abc: 4.835 4.835 3.539
angles: 90.00 90.00 90.00
Each line ends with the local moment (μB).
Fractional positions:
Mn1 0.000 0.000 0.000  2.06
Cu1 0.000 0.500 0.000  0.07
Tl1 0.500 0.500 0.500  0.01
N1 0.000 0.000 0.500  -0.23
Cu2 0.500 0.000 0.000  0.07

Calculated values
Space group: P4/mmm
Uncorrected formation energy, eV per atom: 0.55
Electronic total energy, eV/cell: -25.32

The following is a DFT calculation (PBE-GGA) of a relaxed CsGaSb3 crystal.

abc: 5.740 9.450 7.119
angles: 90.00 90.00 90.01
Fractional positions:
Sb1 0.967 0.506 0.949
Cs1 0.956 0.093 0.201
Ga1 0.650 0.649 0.201
Sb2 0.338 0.432 0.201
Sb3 0.967 0.506 0.453
Sb4 0.467 0.846 0.449
Ga2 0.150 0.704 0.701
Cs2 0.455 0.260 0.701
Sb5 0.467 0.846 0.953
Sb6 0.838 0.921 0.701

Calculated values
Space group: Pmn2_1
Polymorph energy (0 for the lowest one), eV/atom: 0.000
Uncorrected formation energy, eV per atom: -0.17
Electronic total energy, eV/cell: -34.24

The following is a DFT calculation (PBE-GGA) of a relaxed HfGa3 crystal.

abc: 3.970 3.970 9.180
angles: 102.49 102.49 90.00
Fractional positions:
Ga1 0.000 0.500 0.000
Ga2 0.376 0.376 0.753
Ga3 0.500 0.000 0.000
Ga4 0.624 0.624 0.247
Ga5 0.750 0.250 0.500
Hf1 0.881 0.881 0.761
Ga6 0.250 0.750 0.500
Hf2 0.119 0.119 0.239

Calculated values
Space group: I4/mmm
Calculated formation energy, eV per atom: -0.3865
Electronic total energy, eV/cell: -41.16

The following is a DFT calculation (PBE-GGA) of a relaxed MnOs3 crystal.

abc: 4.262 5.408 5.408
angles: 120.00 90.00 90.00
Fractional positions:
Mn1 0.750 0.333 0.667
Os1 0.750 0.830 0.659
Os2 0.750 0.341 0.170
Os3 0.250 0.659 0.830
Os4 0.250 0.170 0.830
Mn2 0.250 0.667 0.333
Os5 0.250 0.170 0.341
Os6 0.750 0.830 0.170

Calculated values
Space group: P6_3/mmc
Calculated formation energy, eV per atom: -0.0297
Electronic total energy, eV/cell: -85.96

The following is a DFT calculation (PBE-GGA) of a relaxed BRuRh crystal.

abc: 5.312 2.777 10.258
angles: 90.00 112.86 90.00
Fractional positions:
Ru1 0.816 0.000 0.686
B1 0.163 0.500 0.847
B2 0.052 0.000 0.115
Rh1 0.859 0.500 0.929
B3 0.052 0.500 0.615
Rh2 0.387 0.000 0.771
B4 0.163 0.000 0.347
Rh3 0.859 0.000 0.429
Rh4 0.387 0.500 0.271
Ru2 0.816 0.500 0.186
Ru3 0.364 0.000 0.034
Ru4 0.364 0.500 0.534

Calculated values
Space group: Cm
Calculated formation energy, eV per atom: -0.1228
Electronic total energy, eV/cell: -94.69

The following is a DFT calculation (PBE-GGA) of a relaxed PuMg3Bi3 crystal.

abc: 4.462 11.762 11.762
angles: 120.03 90.00 90.00
Each line ends with the local moment (μB).
Fractional positions:
Mg1 0.250 0.583 0.956  -0.01
Mg2 0.250 0.044 0.627  -0.01
Bi1 0.750 0.867 0.569  -0.12
Bi2 0.750 0.431 0.298  -0.12
Bi3 0.250 0.569 0.702  -0.12
Bi4 0.250 0.298 0.867  -0.12
Bi5 0.250 0.133 0.431  -0.12
Pu1 0.750 0.333 0.667  5.42
Bi6 0.750 0.702 0.133  -0.12
Mg3 0.750 0.628 0.583  -0.01
Pu2 0.250 0.667 0.333  5.42
Mg4 0.750 0.956 0.373  -0.01
Mg5 0.250 0.372 0.417  -0.01
Mg6 0.750 0.417 0.044  -0.01

Calculated values
Space group: P2_1/m
Calculated formation energy, eV per atom: -0.1460
Electronic total energy, eV/cell: -63.56

The following is a DFT calculation (PBE-GGA) of a relaxed CaZnGa2Sb crystal.

abc: 4.863 5.571 4.863
angles: 90.00 90.00 90.00
Fractional positions:
Ga1 0.500 0.000 0.000
Ga2 0.000 0.000 0.500
Zn1 0.000 0.000 0.000
Sb1 0.000 0.500 0.000
Ca1 0.500 0.500 0.500

Calculated values
Space group: P4/mmm
Uncorrected formation energy, eV per atom: -0.06
Electronic total energy, eV/cell: -13.76